(1)
## KBeRh2 (SCAN)

Data for KBeRh2 at its PBEsol-relaxed geometry.

Unit cell a=2.7221 b=2.7221 c=8.7690 alpha=90.00 beta=90.00 gamma=115.56
Element x y z (fractional)
K 0.0000 0.0000 0.0000
Be 0.0000 0.0000 0.5000
Rh 0.5000 0.5000 0.3072
Rh 0.5000 0.5000 0.6928

Values from the calculation:
As for the total DFT energy (no corrections): -79.6 eV for the cell shown. The space group is Cmmm.

=====

(2)
## KBeRh2 (SCAN)

Data for KBeRh2 at its PBEsol-relaxed geometry.

Unit cell a=4.7350 b=4.7350 c=6.0996 alpha=100.15 beta=100.15 gamma=34.36
Element x y z (fractional)
K 0.0000 0.0000 0.0000
Be 0.7903 0.7903 0.3834
Rh 0.2210 0.2210 0.6134
Rh 0.4849 0.4849 0.4952

Values from the calculation:
As for the total DFT energy (no corrections): -79.5 eV for the cell shown. The space group is Cm.

=====

(3)
## KBeRh3 (SCAN)

Data for KBeRh3 at its PBEsol-relaxed geometry.

Unit cell a=4.5041 b=4.5041 c=4.5041 alpha=90.00 beta=90.00 gamma=90.00
Element x y z (fractional)
K 0.0000 0.0000 0.0000
Be 0.5000 0.5000 0.5000
Rh 0.0000 0.0000 0.5000
Rh 0.0000 0.5000 0.0000
Rh 0.5000 0.0000 0.0000

Values from the calculation:
As for the total DFT energy (no corrections): -101.2 eV for the cell shown. The space group is Pm-3m. The polymorph energy (0 for the lowest one) is 2085.3 meV/atom.

=====

Number 1: magnetization 0.0 μB/f.u., energy relative to the elements 0.154 eV/atom. Number 2: magnetization 0.5 μB/f.u., energy relative to the elements 0.170 eV/atom. Number 3: magnetization 1.2 μB/f.u., energy relative to the elements 2.553 eV/atom.